# ZnSnHgPb | Alexandria | PBE | relaxed
data_ZnSnHgPb
_cell_length_a 5.234
_cell_length_b 5.234
_cell_length_c 5.234
_cell_angle_alpha 60.00
_cell_angle_beta 60.00
_cell_angle_gamma 60.00
_symmetry_space_group_name_H-M 'P 1'
_symmetry_Int_Tables_number 1
loop_
_symmetry_equiv_pos_as_xyz
'x,y,z'
loop_
_atom_site_label
_atom_site_type_symbol
_atom_site_fract_x
_atom_site_fract_y
_atom_site_fract_z
_atom_site_occupancy
Zn1 Zn 0.500 0.500 0.500 1
Sn1 Sn 0.250 0.250 0.250 1
Hg1 Hg 0.000 0.000 0.000 1
Pb1 Pb 0.750 0.750 0.750 1
# Energy relative to the elements = 12.3 kJ per mole of atoms

# Gd2TiIn | Alexandria | PBE | relaxed
data_Gd2TiIn
_cell_length_a 5.302
_cell_length_b 5.302
_cell_length_c 5.302
_cell_angle_alpha 60.00
_cell_angle_beta 60.00
_cell_angle_gamma 60.00
_symmetry_space_group_name_H-M 'P 1'
_symmetry_Int_Tables_number 1
loop_
_symmetry_equiv_pos_as_xyz
'x,y,z'
loop_
_atom_site_label
_atom_site_type_symbol
_atom_site_fract_x
_atom_site_fract_y
_atom_site_fract_z
_atom_site_occupancy
Ti1 Ti 0.500 0.500 0.500 1
Gd1 Gd 0.750 0.750 0.750 1
Gd2 Gd 0.250 0.250 0.250 1
In1 In 0.000 0.000 0.000 1
# ΔE to the lowest computed polymorph = 9 meV/atom
# Energy relative to the elements = -9.4 kJ per mole of atoms

# LaSe2Cl | Alexandria | PBE | relaxed
data_LaSe2Cl
_cell_length_a 5.575
_cell_length_b 5.575
_cell_length_c 5.341
_cell_angle_alpha 77.16
_cell_angle_beta 77.16
_cell_angle_gamma 44.07
_symmetry_space_group_name_H-M 'P 1'
_symmetry_Int_Tables_number 1
loop_
_symmetry_equiv_pos_as_xyz
'x,y,z'
loop_
_atom_site_label
_atom_site_type_symbol
_atom_site_fract_x
_atom_site_fract_y
_atom_site_fract_z
_atom_site_occupancy
Cl1 Cl 0.555 0.555 0.406 1
Se1 Se 0.750 0.750 0.772 1
Se2 Se 0.927 0.927 0.987 1
La1 La 0.268 0.268 0.335 1
# ΔE to the lowest computed polymorph = 0 meV/atom
# Formation energy from raw total energies = -588 kJ/mol of formula units

# Li2Ga2Pd | Alexandria | PBE | relaxed
data_Li2Ga2Pd
_cell_length_a 6.808
_cell_length_b 6.808
_cell_length_c 3.220
_cell_angle_alpha 90.00
_cell_angle_beta 90.00
_cell_angle_gamma 90.00
_symmetry_space_group_name_H-M 'P 1'
_symmetry_Int_Tables_number 1
loop_
_symmetry_equiv_pos_as_xyz
'x,y,z'
loop_
_atom_site_label
_atom_site_type_symbol
_atom_site_fract_x
_atom_site_fract_y
_atom_site_fract_z
_atom_site_occupancy
Ga1 Ga 0.639 0.139 0.000 1
Ga2 Ga 0.861 0.639 0.000 1
Ga3 Ga 0.361 0.861 0.000 1
Ga4 Ga 0.139 0.361 0.000 1
Li1 Li 0.836 0.336 0.500 1
Li2 Li 0.336 0.164 0.500 1
Li3 Li 0.164 0.664 0.500 1
Li4 Li 0.664 0.836 0.500 1
Pd1 Pd 0.000 0.000 0.000 1
Pd2 Pd 0.500 0.500 0.000 1
# ΔE to the lowest computed polymorph = 108 meV/atom
# Energy relative to the elements = -35.4 kJ per mole of atoms

# ErTm2Sc3 | Alexandria | PBE | relaxed
data_ErTm2Sc3
_cell_length_a 5.869
_cell_length_b 5.870
_cell_length_c 11.111
_cell_angle_alpha 84.93
_cell_angle_beta 79.81
_cell_angle_gamma 60.01
_symmetry_space_group_name_H-M 'P 1'
_symmetry_Int_Tables_number 1
loop_
_symmetry_equiv_pos_as_xyz
'x,y,z'
loop_
_atom_site_label
_atom_site_type_symbol
_atom_site_fract_x
_atom_site_fract_y
_atom_site_fract_z
_atom_site_occupancy
Sc1 Sc 0.583 0.333 0.250 1
Sc2 Sc 0.250 0.000 0.250 1
Sc3 Sc 0.417 0.667 0.750 1
Sc4 Sc 0.084 0.333 0.750 1
Sc5 Sc 0.916 0.667 0.250 1
Sc6 Sc 0.750 0.000 0.750 1
Er1 Er 0.333 0.333 0.000 1
Er2 Er 0.667 0.667 0.000 1
Tm1 Tm 0.167 0.667 0.500 1
Tm2 Tm 0.000 0.000 0.000 1
Tm3 Tm 0.833 0.333 0.500 1
Tm4 Tm 0.500 0.000 0.500 1
# ΔE to the lowest computed polymorph = 9 meV/atom
# Energy relative to the elements = 5.4 kJ per mole of atoms

# YGaRhPb2 | Alexandria | PBE | relaxed
data_YGaRhPb2
_cell_length_a 5.308
_cell_length_b 4.751
_cell_length_c 5.308
_cell_angle_alpha 90.00
_cell_angle_beta 90.00
_cell_angle_gamma 90.00
_symmetry_space_group_name_H-M 'P 1'
_symmetry_Int_Tables_number 1
loop_
_symmetry_equiv_pos_as_xyz
'x,y,z'
loop_
_atom_site_label
_atom_site_type_symbol
_atom_site_fract_x
_atom_site_fract_y
_atom_site_fract_z
_atom_site_occupancy
Pb1 Pb 0.000 0.000 0.500 1
Pb2 Pb 0.500 0.000 0.000 1
Y1 Y 0.500 0.500 0.500 1
Rh1 Rh 0.000 0.000 0.000 1
Ga1 Ga 0.000 0.500 0.000 1
# Energy relative to the elements = -1.5 kJ per mole of atoms

# KPuMgCl6 | Alexandria | PBE | relaxed
data_KPuMgCl6
_cell_length_a 6.919
_cell_length_b 6.919
_cell_length_c 13.620
_cell_angle_alpha 90.00
_cell_angle_beta 90.00
_cell_angle_gamma 120.00
_symmetry_space_group_name_H-M 'P 1'
_symmetry_Int_Tables_number 1
loop_
_symmetry_equiv_pos_as_xyz
'x,y,z'
loop_
_atom_site_label
_atom_site_type_symbol
_atom_site_fract_x
_atom_site_fract_y
_atom_site_fract_z
_atom_site_occupancy
Cl1 Cl 0.620 0.642 0.143 1
Cl2 Cl 0.022 0.380 0.143 1
Cl3 Cl 0.358 0.978 0.143 1
Cl4 Cl 0.978 0.358 0.643 1
Cl5 Cl 0.022 0.642 0.357 1
Cl6 Cl 0.642 0.620 0.643 1
Cl7 Cl 0.358 0.380 0.357 1
Cl8 Cl 0.380 0.358 0.857 1
Cl9 Cl 0.642 0.022 0.857 1
Cl10 Cl 0.620 0.978 0.357 1
Cl11 Cl 0.380 0.022 0.643 1
Cl12 Cl 0.978 0.620 0.857 1
Mg1 Mg 0.667 0.333 0.750 1
Mg2 Mg 0.333 0.667 0.250 1
Pu1 Pu 0.333 0.667 0.750 1
Pu2 Pu 0.667 0.333 0.250 1
K1 K 0.000 0.000 0.000 1
K2 K 0.000 0.000 0.500 1
# Formation energy from raw total energies = -1665 kJ/mol of formula units

# PuCd2SnBi | Alexandria | PBE | relaxed
data_PuCd2SnBi
_cell_length_a 3.208
_cell_length_b 9.776
_cell_length_c 9.313
_cell_angle_alpha 90.00
_cell_angle_beta 90.00
_cell_angle_gamma 99.44
_symmetry_space_group_name_H-M 'P 1'
_symmetry_Int_Tables_number 1
loop_
_symmetry_equiv_pos_as_xyz
'x,y,z'
loop_
_atom_site_label
_atom_site_type_symbol
_atom_site_fract_x
_atom_site_fract_y
_atom_site_fract_z
_atom_site_occupancy
Cd1 Cd 0.163 0.327 0.542 1
Cd2 Cd 0.837 0.673 0.458 1
Cd3 Cd 0.163 0.327 0.958 1
Cd4 Cd 0.837 0.673 0.042 1
Pu1 Pu 0.594 0.187 0.250 1
Pu2 Pu 0.406 0.813 0.750 1
Sn1 Sn 0.754 0.509 0.750 1
Sn2 Sn 0.246 0.491 0.250 1
Bi1 Bi 0.000 0.000 0.000 1
Bi2 Bi 0.000 0.000 0.500 1
# Energy relative to the elements = -7.7 kJ per mole of atoms

| no. | total magnetization (μB per cell) |
| --- | --- |
| 1 | 0.000 |
| 2 | 17.347 |
| 3 | 0.000 |
| 4 | 0.000 |
| 5 | 0.000 |
| 6 | 0.000 |
| 7 | 10.000 |
| 8 | 11.487 |